[1]
A plane-wave DFT calculation with PBE was carried out for a relaxed structure of Nb2Ag2O5.

a = 3.3325 Å, b = 3.3325 Å, c = 10.2702 Å
α = 90.00°, β = 90.00°, γ = 90.00°
Space group P4/mmm (No. 123)
Unique sites:
Nb (0.0000, 0.0000, 0.0000)
Nb (0.0000, 0.0000, 0.5000)
Ag (0.5000, 0.5000, 0.2215)
O (0.0000, 0.5000, 0.3794)
O (0.5000, 0.5000, 0.0000)

Computed properties:
* relative energy among the computed polymorphs: 688 meV per atom

[2]
A plane-wave DFT calculation with PBE was carried out for a relaxed structure of KBaLuSe3.

a = 8.8371 Å, b = 4.4846 Å, c = 9.9494 Å
α = 90.00°, β = 109.40°, γ = 90.00°
Space group P2_1/m (No. 11)
Unique sites:
K (0.1001, 0.2500, 0.0771)
Ba (0.2848, 0.2500, 0.7735)
Lu (0.3178, 0.7500, 0.3647)
Se (0.1176, 0.2500, 0.3819)
Se (0.3079, 0.7500, 0.0431)
Se (0.4738, 0.7500, 0.6486)

Computed properties:
* relative energy among the computed polymorphs: 13 meV per atom

[3]
A plane-wave DFT calculation with PBE was carried out for a relaxed structure of Hf2ZrNi3As4Pd.

a = 6.5274 Å, b = 3.8383 Å, c = 7.3965 Å
α = 90.00°, β = 90.10°, γ = 90.00°
Space group Pm (No. 6)
Unique sites:
Hf (0.0000, 0.0000, 0.0000)
Hf (0.4860, 0.0000, 0.8730)
Zr (0.9351, 0.5000, 0.3802)
Ni (0.0877, 0.0000, 0.6326)
Ni (0.3024, 0.5000, 0.1261)
Ni (0.8394, 0.5000, 0.7498)
As (0.2128, 0.5000, 0.7920)
As (0.2226, 0.0000, 0.3195)
As (0.7061, 0.5000, 0.0531)
As (0.7088, 0.0000, 0.5820)
Pd (0.6026, 0.0000, 0.2574)

Computed properties:
* relative energy among the computed polymorphs: 6 meV per atom

[4]
A plane-wave DFT calculation with PBE was carried out for a relaxed structure of RbSrPm.

a = 9.2618 Å, b = 9.2618 Å, c = 9.2618 Å
α = 90.00°, β = 90.00°, γ = 90.00°
Space group F-43m (No. 216)
Unique sites:
Rb (0.0000, 0.0000, 0.0000)
Sr (0.0000, 0.0000, 0.5000)
Pm (0.2500, 0.2500, 0.2500)

Computed properties:
* relative energy among the computed polymorphs: 0 meV per atom

[5]
A plane-wave DFT calculation with PBE was carried out for a relaxed structure of YTcIr2.

a = 6.4827 Å, b = 6.4827 Å, c = 6.4827 Å
α = 90.00°, β = 90.00°, γ = 90.00°
Space group F-43m (No. 216)
Unique sites:
Y (0.0000, 0.0000, 0.0000)
Tc (0.2500, 0.2500, 0.7500)
Ir (0.0000, 0.0000, 0.5000)
Ir (0.2500, 0.2500, 0.2500)

Computed properties:
* ΔE_f: 121 meV/atom

[6]
A plane-wave DFT calculation with PBE was carried out for a relaxed structure of SmHoBr2O2.

a = 3.8618 Å, b = 3.8618 Å, c = 8.3939 Å
α = 90.00°, β = 90.00°, γ = 90.00°
Space group P4mm (No. 99)
Unique sites:
Sm (0.0000, 0.0000, 0.0000)
Ho (0.5000, 0.5000, 0.2768)
Br (0.0000, 0.0000, 0.4731)
Br (0.5000, 0.5000, 0.8045)
O (0.0000, 0.5000, 0.1452)

Computed properties:
* total energy: -6.6586 eV per atom

| no. | magnetization (μB/cell) |
| --- | --- |
| 1 | 0.54 |
| 2 | 0.00 |
| 3 | 0.00 |
| 4 | 9.07 |
| 5 | 0.00 |
| 6 | 0.01 |